Record 1
# AcWAu

A relaxed structure of AcWAu (GGA-PBE, OQMD via LeMat-Bulk).

CIF file:
```
data_AcWAu
_symmetry_space_group_name_H-M 'F -4 3 m'
_symmetry_Int_Tables_number 216
_symmetry_space_group_name_Hall 'F -4 2 3'
_cell_length_a 7.164
_cell_length_b 7.164
_cell_length_c 7.164
_cell_angle_alpha 90.00
_cell_angle_beta 90.00
_cell_angle_gamma 90.00
loop_
_atom_site_label
_atom_site_type_symbol
_atom_site_fract_x
_atom_site_fract_y
_atom_site_fract_z
Ac1 Ac 0.000 0.000 0.000
W1 W 0.250 0.250 0.250
Au1 Au 0.250 0.250 0.750
```

Values from the calculation:
The calculation puts the energy relative to the elements at 1440 meV/atom. The crystal system is cubic. The total energy is -5.337 eV/atom. The calculation puts the magnetization at 1.2395 μB per atom. The excess energy over the best structure of this formula in the dataset is 448 meV/atom. As for the mass density: 10.98 g/cm³.

Record 2
# AcZn2Au3

A relaxed structure of AcZn2Au3 (GGA-PBE, OQMD via LeMat-Bulk).

CIF file:
```
data_AcZn2Au3
_symmetry_space_group_name_H-M 'C m c m'
_symmetry_Int_Tables_number 63
_symmetry_space_group_name_Hall '-C 2c 2'
_cell_length_a 10.599
_cell_length_b 8.892
_cell_length_c 5.488
_cell_angle_alpha 90.00
_cell_angle_beta 90.00
_cell_angle_gamma 90.00
loop_
_atom_site_label
_atom_site_type_symbol
_atom_site_fract_x
_atom_site_fract_y
_atom_site_fract_z
Ac1 Ac 0.000 0.192 0.250
Zn1 Zn 0.215 0.500 0.000
Au1 Au 0.000 0.440 0.750
Au2 Au 0.180 0.213 0.750
```

Values from the calculation:
The calculation puts the energy relative to the elements at -555 meV/atom. The crystal system is orthorhombic. The total energy is -3.294 eV/atom. The calculation puts the magnetization at 0.0003 μB per atom. As for the mass density: 12.18 g/cm³.

Record 3
# Ac3Zn2Au4

A relaxed structure of Ac3Zn2Au4 (GGA-PBE, OQMD via LeMat-Bulk).

CIF file:
```
data_Ac3Zn2Au4
_symmetry_space_group_name_H-M 'C 1 2/m 1'
_symmetry_Int_Tables_number 12
_symmetry_space_group_name_Hall '-C 2y'
_cell_length_a 11.593
_cell_length_b 4.685
_cell_length_c 9.179
_cell_angle_alpha 90.00
_cell_angle_beta 109.87
_cell_angle_gamma 90.00
loop_
_atom_site_label
_atom_site_type_symbol
_atom_site_fract_x
_atom_site_fract_y
_atom_site_fract_z
Ac1 Ac 0.000 0.000 0.000
Ac2 Ac 0.162 0.500 0.671
Zn1 Zn 0.116 0.500 0.287
Au1 Au 0.064 0.000 0.387
Au2 Au 0.214 0.500 0.066
```

Values from the calculation:
The calculation puts the energy relative to the elements at -741 meV/atom. The crystal system is monoclinic. The total energy is -3.843 eV/atom. The calculation puts the magnetization at 0.0001 μB per atom. As for the mass density: 11.33 g/cm³.

Record 4
# Ac2Zn5Au3

A relaxed structure of Ac2Zn5Au3 (GGA-PBE, OQMD via LeMat-Bulk).

CIF file:
```
data_Ac2Zn5Au3
_symmetry_space_group_name_H-M 'I b a m'
_symmetry_Int_Tables_number 72
_symmetry_space_group_name_Hall '-I 2 2c'
_cell_length_a 10.881
_cell_length_b 12.818
_cell_length_c 6.244
_cell_angle_alpha 90.00
_cell_angle_beta 90.00
_cell_angle_gamma 90.00
loop_
_atom_site_label
_atom_site_type_symbol
_atom_site_fract_x
_atom_site_fract_y
_atom_site_fract_z
Ac1 Ac 0.231 0.125 0.000
Zn1 Zn 0.000 0.280 0.250
Zn2 Zn 0.000 0.500 0.250
Zn3 Zn 0.106 0.145 0.500
Au1 Au 0.000 0.000 0.250
Au2 Au 0.155 0.386 0.000
```

Values from the calculation:
The calculation puts the energy relative to the elements at -516 meV/atom. The crystal system is orthorhombic. The total energy is -2.949 eV/atom. The calculation puts the magnetization at 0.0001 μB per atom. As for the mass density: 10.46 g/cm³.

Record 5
# AcZnAu

A relaxed structure of AcZnAu (GGA-PBE, OQMD via LeMat-Bulk).

CIF file:
```
data_AcZnAu
_symmetry_space_group_name_H-M 'F -4 3 m'
_symmetry_Int_Tables_number 216
_symmetry_space_group_name_Hall 'F -4 2 3'
_cell_length_a 7.276
_cell_length_b 7.276
_cell_length_c 7.276
_cell_angle_alpha 90.00
_cell_angle_beta 90.00
_cell_angle_gamma 90.00
loop_
_atom_site_label
_atom_site_type_symbol
_atom_site_fract_x
_atom_site_fract_y
_atom_site_fract_z
Ac1 Ac 0.000 0.000 0.000
Zn1 Zn 0.250 0.250 0.250
Au1 Au 0.250 0.250 0.750
```

Values from the calculation:
The calculation puts the energy relative to the elements at -137 meV/atom. The crystal system is cubic. The total energy is -3.016 eV/atom. The calculation puts the magnetization at 0.0004 μB per atom. The excess energy over the best structure of this formula in the dataset is 515 meV/atom. As for the mass density: 8.44 g/cm³.

Record 6
# AcZnAu

A relaxed structure of AcZnAu (GGA-PBE, OQMD via LeMat-Bulk).

CIF file:
```
data_AcZnAu
_symmetry_space_group_name_H-M 'F -4 3 m'
_symmetry_Int_Tables_number 216
_symmetry_space_group_name_Hall 'F -4 2 3'
_cell_length_a 6.937
_cell_length_b 6.937
_cell_length_c 6.937
_cell_angle_alpha 90.00
_cell_angle_beta 90.00
_cell_angle_gamma 90.00
loop_
_atom_site_label
_atom_site_type_symbol
_atom_site_fract_x
_atom_site_fract_y
_atom_site_fract_z
Ac1 Ac 0.000 0.000 0.000
Zn1 Zn 0.250 0.250 0.250
Au1 Au 0.000 0.000 0.500
```

Values from the calculation:
The calculation puts the energy relative to the elements at -345 meV/atom. The crystal system is cubic. The total energy is -3.224 eV/atom. The calculation puts the magnetization at 0.0001 μB per atom. The excess energy over the best structure of this formula in the dataset is 307 meV/atom. As for the mass density: 9.74 g/cm³.

Record 7
# AcZrAu

A relaxed structure of AcZrAu (GGA-PBE, OQMD via LeMat-Bulk).

CIF file:
```
data_AcZrAu
_symmetry_space_group_name_H-M 'F -4 3 m'
_symmetry_Int_Tables_number 216
_symmetry_space_group_name_Hall 'F -4 2 3'
_cell_length_a 7.188
_cell_length_b 7.188
_cell_length_c 7.188
_cell_angle_alpha 90.00
_cell_angle_beta 90.00
_cell_angle_gamma 90.00
loop_
_atom_site_label
_atom_site_type_symbol
_atom_site_fract_x
_atom_site_fract_y
_atom_site_fract_z
Ac1 Ac 0.000 0.000 0.000
Zr1 Zr 0.000 0.000 0.500
Au1 Au 0.250 0.250 0.250
```

Values from the calculation:
The calculation puts the energy relative to the elements at 49 meV/atom. The crystal system is cubic. The total energy is -5.258 eV/atom. The calculation puts the magnetization at 0.5336 μB per atom. The excess energy over the best structure of this formula in the dataset is 0 meV/atom. As for the mass density: 9.21 g/cm³.

Record 8
# AcCoB4

A relaxed structure of AcCoB4 (GGA-PBE, OQMD via LeMat-Bulk).

CIF file:
```
data_AcCoB4
_symmetry_space_group_name_H-M 'P 6/m m m'
_symmetry_Int_Tables_number 191
_symmetry_space_group_name_Hall '-P 6 2'
_cell_length_a 3.2187
_cell_length_b 3.2187
_cell_length_c 7.1369
_cell_angle_alpha 90.00
_cell_angle_beta 90.00
_cell_angle_gamma 120.00
loop_
_atom_site_label
_atom_site_type_symbol
_atom_site_fract_x
_atom_site_fract_y
_atom_site_fract_z
Ac1 Ac 0.0000 0.0000 0.0000
Co1 Co 0.0000 0.0000 0.5000
B1 B 0.3333 0.6667 0.3226
```

Values from the calculation:
The crystal system is hexagonal. The total energy is -6.286 eV/atom. The calculation puts the magnetization at 0.0000 μB per atom. The excess energy over the best structure of this formula in the dataset is 0 meV/atom. As for the mass density: 8.54 g/cm³.